No. 1
Entry from Alexandria: a relaxed La2AgSe crystal (PBE).

Properties
**ΔE_f (raw)**: -739 meV/atom
**SG**: I-42d (122)

```
16
Lattice="8.021 0.000 0.000 0.000 8.021 0.000 0.000 0.000 7.810" Properties=species:S:1:pos:R:3 pbc="T T T"
La 1.946 2.005 0.976
La 2.005 5.957 2.929
La 2.005 6.074 6.833
La 2.064 2.005 4.881
La 5.957 6.016 4.881
La 6.016 1.946 6.833
La 6.016 2.064 2.929
La 6.074 6.016 0.976
Ag 0.000 0.000 3.905
Ag 0.000 4.010 5.857
Ag 4.010 0.000 1.952
Ag 4.010 4.010 0.000
Se 0.000 0.000 0.000
Se 0.000 4.010 1.952
Se 4.010 0.000 5.857
Se 4.010 4.010 3.905
```

No. 2
Entry from Alexandria: a relaxed LaAgSe2 crystal (PBE).

Properties
**ΔE_f (raw)**: -1101 meV/atom
**SG**: I-42d (122)

```
16
Lattice="6.105 0.000 0.000 0.000 6.105 0.000 0.000 0.000 14.230" Properties=species:S:1:pos:R:3 pbc="T T T"
La 0.000 0.000 0.000
La 0.000 3.052 3.558
La 3.052 0.000 10.673
La 3.052 3.052 7.115
Ag 0.000 0.000 7.115
Ag 0.000 3.052 10.673
Ag 3.052 0.000 3.558
Ag 3.052 3.052 0.000
Se 1.373 1.526 8.894
Se 1.526 4.426 12.451
Se 1.526 4.732 5.336
Se 1.679 1.526 1.779
Se 4.426 4.579 1.779
Se 4.579 1.373 5.336
Se 4.579 1.679 12.451
Se 4.732 4.579 8.894
```

No. 3
Entry from Alexandria: a relaxed LaAg2Se2 crystal (PBE).

Properties
**Polymorph energy (0 for the lowest one)**: 0.179 eV/atom
**ΔE_f (raw)**: -613 meV/atom
**SG**: P4/mbm (127)

```
10
Lattice="7.872 0.000 0.000 0.000 7.872 0.000 0.000 0.000 3.906" Properties=species:S:1:pos:R:3 pbc="T T T"
La 0.000 0.000 0.000
La 3.936 3.936 0.000
Ag 1.046 2.890 1.953
Ag 2.890 6.826 1.953
Ag 4.982 1.046 1.953
Ag 6.826 4.982 1.953
Se 1.331 5.266 0.000
Se 2.605 1.331 0.000
Se 5.266 6.541 0.000
Se 6.541 2.605 0.000
```

No. 4
Entry from Alexandria: a relaxed LaAgSe2 crystal (PBE).

Properties
**ΔE_f (raw)**: -1198 meV/atom
**SG**: P4mm (99)

```
4
Lattice="4.247 0.000 0.000 0.000 4.247 0.000 0.000 0.000 5.931" Properties=species:S:1:pos:R:3 pbc="T T T"
La 0.000 0.000 0.000
Ag 2.124 2.124 3.460
Se 0.000 0.000 3.061
Se 2.124 2.124 0.309
```

No. 5
Entry from Alexandria: a relaxed LaAg2Se crystal (PBE).

Properties
**ΔE_f (raw)**: -465 meV/atom
**SG**: I-42d (122)

```
16
Lattice="8.445 0.000 0.000 0.000 8.445 0.000 0.000 0.000 5.751" Properties=species:S:1:pos:R:3 pbc="T T T"
La 0.000 0.000 0.000
La 0.000 4.222 1.438
La 4.222 0.000 4.313
La 4.222 4.222 2.876
Ag 1.779 2.111 3.594
Ag 2.111 6.002 5.032
Ag 2.111 6.665 2.157
Ag 2.443 2.111 0.719
Ag 6.002 6.334 0.719
Ag 6.334 1.779 2.157
Ag 6.334 2.443 5.032
Ag 6.665 6.334 3.594
Se 0.000 0.000 2.876
Se 0.000 4.222 4.313
Se 4.222 0.000 1.438
Se 4.222 4.222 0.000
```

No. 6
Entry from Alexandria: a relaxed LaAg2Se crystal (PBE).

Properties
**ΔE_f (raw)**: -312 meV/atom
**SG**: R-3m (166)

```
12
Lattice="4.740 0.000 0.000 -2.370 4.105 0.000 0.000 0.000 15.014" Properties=species:S:1:pos:R:3 pbc="T T T"
La 0.000 0.000 0.000
La 0.000 2.737 10.010
La 2.370 1.368 5.005
Ag 0.000 0.000 3.379
Ag 0.000 0.000 11.635
Ag 0.000 2.737 6.631
Ag 0.000 2.737 13.389
Ag 2.370 1.368 1.626
Ag 2.370 1.368 8.384
Se 0.000 0.000 7.507
Se 0.000 2.737 2.502
Se 2.370 1.368 12.512
```

No. 7
Entry from Alexandria: a relaxed LaAg3Se crystal (PBE).

Properties
**Polymorph energy (0 for the lowest one)**: 0.915 eV/atom
**ΔE_f (raw)**: 1074 meV/atom
**SG**: Pm-3m (221)

```
5
Lattice="5.639 0.000 0.000 0.000 5.639 0.000 0.000 0.000 5.639" Properties=species:S:1:pos:R:3 pbc="T T T"
La 0.000 0.000 0.000
Ag 0.000 0.000 2.820
Ag 0.000 2.820 0.000
Ag 2.820 0.000 0.000
Se 2.820 2.820 2.820
```

No. 8
Entry from Alexandria: a relaxed La2AgSe2 crystal (PBE).

Properties
**Polymorph energy (0 for the lowest one)**: 0.025 eV/atom
**ΔE_f (raw)**: -1315 meV/atom
**SG**: P4/mbm (127)

```
10
Lattice="8.371 0.000 0.000 0.000 8.371 0.000 0.000 0.000 3.908" Properties=species:S:1:pos:R:3 pbc="T T T"
La 1.308 2.878 0.000
La 2.878 7.063 0.000
La 5.493 1.308 0.000
La 7.063 5.493 0.000
Ag 0.000 0.000 0.000
Ag 4.185 4.185 0.000
Se 1.204 5.389 1.954
Se 2.982 1.204 1.954
Se 5.389 7.167 1.954
Se 7.167 2.982 1.954
```

No. 9
Entry from Alexandria: a relaxed LaAgSe2 crystal (PBE).

Properties
**ΔE_f (raw)**: -959 meV/atom
**SG**: P4/mmm (123)

```
4
Lattice="3.699 0.000 0.000 0.000 3.699 0.000 0.000 0.000 7.191" Properties=species:S:1:pos:R:3 pbc="T T T"
La 0.000 0.000 0.000
Ag 0.000 0.000 3.596
Se 1.850 1.850 1.761
Se 1.850 1.850 5.431
```

No. 10
Entry from Alexandria: a relaxed La2SiAgSe crystal (PBE).

Properties
**ΔE_f (raw)**: -275 meV/atom
**SG**: P4/mmm (123)

```
5
Lattice="5.861 0.000 0.000 0.000 5.861 0.000 0.000 0.000 4.455" Properties=species:S:1:pos:R:3 pbc="T T T"
La 0.000 2.931 0.000
La 2.931 0.000 0.000
Si 0.000 0.000 2.228
Ag 0.000 0.000 0.000
Se 2.931 2.931 2.228
```

No. 11
Entry from Alexandria: a relaxed LaSmAg2Se4 crystal (PBE).

Properties
**ΔE_f (raw)**: -1108 meV/atom
**SG**: I222 (23)

```
16
Lattice="7.091 0.000 0.000 0.000 7.167 0.000 0.000 0.000 8.673" Properties=species:S:1:pos:R:3 pbc="T T T"
La 0.000 0.000 0.000
La 3.546 3.583 4.337
Sm 0.000 0.000 4.337
Sm 3.546 3.583 0.000
Ag 0.000 3.583 1.419
Ag 0.000 3.583 7.254
Ag 3.546 0.000 2.917
Ag 3.546 0.000 5.756
Se 1.653 1.791 2.885
Se 1.653 5.376 5.788
Se 1.892 1.793 7.221
Se 1.892 5.374 1.452
Se 5.199 1.793 1.452
Se 5.199 5.374 7.221
Se 5.438 1.791 5.788
Se 5.438 5.376 2.885
```

No. 12
Entry from Alexandria: a relaxed La2AgSnSe5 crystal (PBE).

Properties
**ΔE_f (raw)**: -1205 meV/atom
**SG**: Cmc2_1 (36)

```
18
Lattice="2.090 -8.917 0.000 2.090 8.917 0.000 0.000 0.000 12.683" Properties=species:S:1:pos:R:3 pbc="T T T"
La 2.090 6.868 6.342
La 2.090 6.718 1.508
La 2.090 -6.718 7.850
La 2.090 -6.868 0.000
Ag 2.090 0.110 3.738
Ag 2.090 -0.110 10.080
Sn 2.090 5.507 10.353
Sn 2.090 -5.507 4.011
Se 2.090 8.094 11.382
Se 2.090 3.774 6.062
Se 2.090 3.559 1.889
Se 2.090 2.636 10.308
Se 2.090 0.049 1.188
Se 2.090 -0.049 7.530
Se 2.090 -2.636 3.966
Se 2.090 -3.559 8.230
Se 2.090 -3.774 12.403
Se 2.090 -8.094 5.040
```

No. 13
Entry from Alexandria: a relaxed La2Ag3SnSe6 crystal (PBE).

Properties
**ΔE_f (raw)**: -903 meV/atom
**SG**: C2/m (12)

```
12
Lattice="8.905 -2.150 0.000 8.905 2.150 0.000 -1.027 0.000 7.969" Properties=species:S:1:pos:R:3 pbc="T T T"
La 2.613 0.000 2.555
La 14.168 0.000 5.414
Ag 2.294 0.000 6.503
Ag 8.391 0.000 3.985
Ag 14.487 0.000 1.466
Sn 8.905 0.000 0.000
Se -0.662 0.000 5.973
Se 5.539 0.000 3.338
Se 5.005 0.000 7.480
Se 11.777 0.000 0.489
Se 11.243 0.000 4.631
Se 17.444 0.000 1.996
```

No. 14
Entry from Alexandria: a relaxed La2TbAgSe5 crystal (PBE).

Properties
**ΔE_f (raw)**: -1655 meV/atom
**SG**: Cmc2_1 (36)

```
18
Lattice="2.106 -8.850 0.000 2.106 8.850 0.000 0.000 0.000 12.618" Properties=species:S:1:pos:R:3 pbc="T T T"
La 2.106 6.891 6.309
La 2.106 6.649 1.544
La 2.106 -6.649 7.853
La 2.106 -6.891 0.000
Tb 2.106 5.390 10.394
Tb 2.106 -5.390 4.085
Ag 2.106 0.994 3.438
Ag 2.106 -0.994 9.747
Se 2.106 8.044 11.242
Se 2.106 3.758 6.078
Se 2.106 3.436 2.045
Se 2.106 2.501 10.291
Se 2.106 0.044 7.388
Se 2.106 -0.044 1.079
Se 2.106 -2.501 3.982
Se 2.106 -3.436 8.354
Se 2.106 -3.758 12.387
Se 2.106 -8.044 4.933
```

No. 15
Entry from Alexandria: a relaxed LaAgTeSe crystal (PBE).

Properties
**ΔE_f (raw)**: -1197 meV/atom
**SG**: R-3m (166)

```
8
Lattice="2.409 1.391 11.885 -2.409 1.391 11.885 0.000 -2.782 11.885" Properties=species:S:1:pos:R:3 pbc="T T T"
La 0.000 0.000 3.939
La 0.000 0.000 31.716
Ag 0.000 0.000 10.859
Ag 0.000 0.000 24.796
Te 0.000 0.000 13.787
Te 0.000 0.000 21.868
Se 0.000 0.000 7.026
Se 0.000 0.000 28.628
```

No. 16
Entry from Alexandria: a relaxed La2AgTeSe crystal (PBE).

Properties
**ΔE_f (raw)**: -792 meV/atom
**SG**: P4/mmm (123)

```
5
Lattice="5.730 0.000 0.000 0.000 5.730 0.000 0.000 0.000 4.860" Properties=species:S:1:pos:R:3 pbc="T T T"
La 0.000 2.865 0.000
La 2.865 0.000 0.000
Ag 0.000 0.000 2.430
Te 2.865 2.865 2.430
Se 0.000 0.000 0.000
```

No. 17
Entry from Alexandria: a relaxed La2ThAgSe5 crystal (PBE).

Properties
**ΔE_f (raw)**: -1589 meV/atom
**SG**: Cmc2_1 (36)

```
18
Lattice="2.107 -8.923 0.000 2.107 8.923 0.000 0.000 0.000 12.754" Properties=species:S:1:pos:R:3 pbc="T T T"
La 2.107 6.911 6.377
La 2.107 6.731 1.563
La 2.107 -6.731 7.940
La 2.107 -6.911 0.000
Th 2.107 5.447 10.476
Th 2.107 -5.447 4.099
Ag 2.107 0.901 3.329
Ag 2.107 -0.901 9.706
Se 2.107 8.182 11.211
Se 2.107 3.710 6.179
Se 2.107 3.421 2.001
Se 2.107 2.520 10.396
Se 2.107 0.086 7.326
Se 2.107 -0.086 0.949
Se 2.107 -2.520 4.019
Se 2.107 -3.421 8.378
Se 2.107 -3.710 12.556
Se 2.107 -8.182 4.834
```

No. 18
Entry from Alexandria: a relaxed La2TlAgSe4 crystal (PBE).

Properties
**ΔE_f (raw)**: -1299 meV/atom
**SG**: Imma (74)

```
16
Lattice="-4.230 4.460 6.354 4.230 -4.460 6.354 4.230 4.460 -6.354" Properties=species:S:1:pos:R:3 pbc="T T T"
La 0.000 0.000 0.000
La -2.115 2.230 3.177
La 0.000 4.460 0.000
La 2.115 2.230 3.177
Tl 2.115 2.230 -3.177
Tl 2.115 -2.230 3.177
Ag 4.230 0.000 0.000
Ag 0.000 0.000 6.354
Se 0.000 0.162 2.997
Se 2.137 2.230 0.118
Se 6.324 2.230 0.118
Se 4.230 0.162 3.356
Se 0.000 4.299 2.997
Se -2.093 2.230 6.235
Se 2.093 2.230 6.235
Se 4.230 4.299 3.356
```

No. 19
Entry from Alexandria: a relaxed La2TlAgSe crystal (PBE).

Properties
**ΔE_f (raw)**: -519 meV/atom
**SG**: P4/mmm (123)

```
5
Lattice="5.724 0.000 0.000 0.000 5.724 0.000 0.000 0.000 4.941" Properties=species:S:1:pos:R:3 pbc="T T T"
La 0.000 2.862 0.000
La 2.862 0.000 0.000
Tl 0.000 0.000 2.471
Ag 2.862 2.862 2.471
Se 2.862 2.862 0.000
```

No. 20
Entry from Alexandria: a relaxed La2UAgSe5 crystal (PBE).

Properties
**ΔE_f (raw)**: -1424 meV/atom
**SG**: Cmc2_1 (36)

```
18
Lattice="2.098 -8.838 0.000 2.098 8.838 0.000 0.000 0.000 12.680" Properties=species:S:1:pos:R:3 pbc="T T T"
La 2.098 6.858 6.340
La 2.098 6.626 1.538
La 2.098 -6.626 7.878
La 2.098 -6.858 0.000
U 2.098 5.352 10.437
U 2.098 -5.352 4.097
Ag 2.098 0.901 3.358
Ag 2.098 -0.901 9.698
Se 2.098 8.022 11.209
Se 2.098 3.713 6.083
Se 2.098 3.424 2.057
Se 2.098 2.472 10.335
Se 2.098 0.071 7.321
Se 2.098 -0.071 0.982
Se 2.098 -2.472 3.995
Se 2.098 -3.424 8.397
Se 2.098 -3.713 12.423
Se 2.098 -8.022 4.870
```

| no. | density (g cm⁻³) |
| --- | --- |
| 1 | 6.1 |
| 2 | 5.1 |
| 3 | 7.0 |
| 4 | 6.3 |
| 5 | 7.0 |
| 6 | 7.4 |
| 7 | 5.0 |
| 8 | 6.6 |
| 9 | 6.8 |
| 10 | 5.3 |
| 11 | 6.2 |
| 12 | 6.3 |
| 13 | 6.5 |
| 14 | 6.6 |
| 15 | 6.3 |
| 16 | 6.2 |
| 17 | 7.0 |
| 18 | 6.3 |
| 19 | 6.9 |
| 20 | 7.2 |